Entry 1:
Density functional theory data (PBE) for a relaxed structure of FePtRh2.

a b c (Å): 2.7283 3.7716 5.4946
angles (deg): 90.00 90.00 90.00
Closest atoms and distances in Å follow each position.
Space group Pmmm (No. 47)
One atom of each set of equivalent atoms:
1 Fe 0.0000 0.0000 0.0000  8 Rh 2.68, 2 Fe 2.73, 2 Pt 2.75
2 Pt 0.0000 0.0000 0.5000  2 Pt 2.73, 8 Rh 2.73, 2 Fe 2.75
3 Rh 0.5000 0.5000 0.2402  4 Rh 2.64-2.85, 4 Fe 2.68, 4 Pt 2.73

* total DFT energy (no corrections): -7.357 eV/atom
* density: 13.41 g/cm³

Entry 2:
Density functional theory data (PBE) for a relaxed structure of Fe6PtRh.

a b c (Å): 7.5570 10.3322 10.3372
angles (deg): 90.00 90.00 90.00
Closest atoms and distances in Å follow each position.
Space group Cmmm (No. 65)
One atom of each set of equivalent atoms:
1 Fe 0.0000 0.0000 0.0000  4 Rh 2.57-2.58, 8 Fe 2.63
2 Fe 0.0000 0.0000 0.5000  2 Pt 2.58, 2 Rh 2.60, 8 Fe 2.63
3 Fe 0.0000 0.2484 0.2477  2 Rh 2.56-2.57, 8 Fe 2.60-2.65, 2 Pt 2.60-2.61
4 Fe 0.0000 0.5000 0.0000  2 Pt 2.57, 2 Rh 2.59, 8 Fe 2.64
5 Fe 0.0000 0.5000 0.5000  4 Pt 2.59-2.60, 8 Fe 2.64
6 Fe 0.2492 0.1247 0.3738  8 Fe 2.57-2.65, 1 Rh 2.62, 3 Pt 2.63-2.64
7 Fe 0.2494 0.1264 0.1248  8 Fe 2.55-2.64, 3 Rh 2.61-2.63, 1 Pt 2.63
8 Pt 0.0000 0.2497 0.5000  12 Fe 2.58-2.64
9 Pt 0.0000 0.5000 0.2489  12 Fe 2.57-2.63
10 Rh 0.0000 0.0000 0.2487  12 Fe 2.57-2.63
11 Rh 0.0000 0.2494 0.0000  12 Fe 2.56-2.63

* total DFT energy (no corrections): -8.001 eV/atom
* density: 10.42 g/cm³

Entry 3:
Density functional theory data (PBE) for a relaxed structure of Fe5Pt5Rh2.

a b c (Å): 13.8986 2.7360 10.1714
angles (deg): 90.00 118.35 90.00
Closest atoms and distances in Å follow each position.
Space group C2/m (No. 12)
One atom of each set of equivalent atoms:
1 Fe 0.0000 0.0000 0.0000  8 Pt 2.64-2.79, 2 Fe 2.74, 2 Rh 2.82
2 Fe 0.1649 0.0000 0.4925  5 Pt 2.63-2.70, 6 Fe 2.67-2.79, 1 Rh 2.68
3 Fe 0.1959 0.5000 0.7489  2 Rh 2.63, 6 Pt 2.65-2.83, 4 Fe 2.74-2.79
4 Pt 0.0000 0.5000 0.5000  6 Fe 2.70, 4 Rh 2.70, 2 Pt 2.74
5 Pt 0.1432 0.5000 0.2588  7 Fe 2.63-2.79, 3 Pt 2.74, 2 Rh 2.79
6 Pt 0.1636 0.5000 0.0036  5 Fe 2.64-2.83, 2 Rh 2.73, 5 Pt 2.74-2.80
7 Rh 0.0339 0.0000 0.7475  4 Fe 2.63-2.82, 6 Pt 2.70-2.79, 2 Rh 2.74

* total DFT energy (no corrections): -7.405 eV/atom
* density: 14.25 g/cm³